# Ac5Tl6Pb

Ac5Tl6Pb after structural relaxation (PBE, the Alexandria database).

abc: 5.6289 8.4479 17.5250
angles: 90.00 90.00 90.00
Closest atoms and distances in Å follow each position.
Space group Immm (No. 71)
Asymmetric unit:
Ac: 0.0000 0.0000 0.0000  8 Tl 3.40-3.56
Ac: 0.0000 0.0000 0.3594  6 Tl 3.39-3.57, 2 Pb 3.74
Ac: 0.0000 0.5000 0.3216  8 Tl 3.49-3.66
Tl: 0.0000 0.2458 0.1650  6 Ac 3.49-3.57, 1 Pb 3.60
Tl: 0.0000 0.2750 0.5000  6 Ac 3.39-3.66, 2 Pb 3.65
Pb: 0.0000 0.5000 0.0000  8 Tl 3.60-3.65, 4 Ac 3.74

Computed properties:
E_tot: -3.53 eV per atom
theoretical density: 10236 kg/m³
formation enthalpy at 0 K: -327 meV/atom

# Ac6TlPb3

Ac6TlPb3 after structural relaxation (PBE, the Alexandria database).

abc: 12.0092 16.5793 8.1074
angles: 90.00 90.00 90.00
Closest atoms and distances in Å follow each position.
Space group Cmc2_1 (No. 36)
Asymmetric unit:
Ac: 0.0000 0.0373 0.0000  2 Tl 3.28-3.59, 4 Pb 3.45-3.53
Ac: 0.0000 0.2968 0.0174  1 Tl 3.54, 2 Ac 3.95
Ac: 0.1852 0.2982 0.5314  3 Pb 3.34-3.50, 1 Tl 3.42
Ac: 0.2198 0.4572 0.1734  4 Pb 3.46-3.60
Tl: 0.0000 0.1602 0.6825  5 Ac 3.28-3.59, 2 Pb 3.43
Pb: 0.0000 0.4562 0.4498  6 Ac 3.46-3.51
Pb: 0.1412 0.1279 0.3207  6 Ac 3.34-3.60, 1 Pb 3.39, 1 Tl 3.43

Computed properties:
E_tot: -4.11 eV per atom
theoretical density: 9003 kg/m³
formation enthalpy at 0 K: -296 meV/atom

# Ac7Tl5Pb

Ac7Tl5Pb after structural relaxation (PBE, the Alexandria database).

abc: 6.9778 11.8759 11.8199
angles: 90.00 90.00 90.00
Closest atoms and distances in Å follow each position.
Space group Imm2 (No. 44)
Asymmetric unit:
Ac: 0.0000 0.0000 0.0000  1 Pb 3.64, 4 Tl 3.80, 4 Ac 3.98-4.06
Ac: 0.0000 0.0000 0.3933  1 Pb 3.53, 6 Tl 3.54-3.55
Ac: 0.0000 0.3194 0.6144  5 Tl 3.42-3.64
Ac: 0.0000 0.3312 0.0836  5 Tl 3.41-3.72, 1 Ac 3.61
Ac: 0.0000 0.5000 0.3380  4 Tl 3.38, 2 Ac 3.61
Tl: 0.0000 0.5000 0.8419  6 Ac 3.44-3.54, 4 Tl 3.52
Tl: 0.2500 0.2431 0.8516  6 Ac 3.38-3.72, 3 Tl 3.49-3.52
Pb: 0.0000 0.0000 0.6923  6 Ac 3.53-3.90, 4 Tl 3.86

Computed properties:
E_tot: -3.62 eV per atom
theoretical density: 9555 kg/m³
formation enthalpy at 0 K: -213 meV/atom